Sc5TaOs6 | Alexandria via LeMat-Bulk | PBE | relaxed; raw total energy = -115.84 eV per formula unit; ρ = 12950 kg/m³; ΔH_f (0 K) = -413 meV per atom
1.0
-2.266 3.220 6.797
2.266 -3.220 6.797
2.266 3.220 -6.797
Sc Ta Os
5 1 6
Direct
0.000 0.000 0.000 Sc
0.166 0.666 0.500 Sc
0.331 0.331 0.000 Sc
0.669 0.669 0.000 Sc
0.834 0.334 0.500 Sc
0.500 0.000 0.500 Ta
0.092 0.837 0.255 Os
0.259 0.500 0.759 Os
0.418 0.163 0.255 Os
0.582 0.837 0.745 Os
0.741 0.500 0.241 Os
0.908 0.163 0.745 Os

ScTaOs2 | Alexandria via LeMat-Bulk | PBE | relaxed; energy above the most stable polymorph in this dataset = 0.000 eV/atom; raw total energy = -42.77 eV per formula unit; ρ = 15493 kg/m³; ΔH_f (0 K) = -531 meV per atom
1.0
0.000 3.191 3.191
3.191 0.000 3.191
3.191 3.191 0.000
Sc Ta Os
1 1 2
Direct
0.000 0.000 0.000 Sc
0.500 0.500 0.500 Ta
0.250 0.250 0.250 Os
0.750 0.750 0.750 Os

Sc2TaOs | Alexandria via LeMat-Bulk | PBE | relaxed; energy above the most stable polymorph in this dataset = 0.287 eV/atom; raw total energy = -35.51 eV per formula unit; ρ = 10421 kg/m³; ΔH_f (0 K) = 60 meV per atom
1.0
3.065 0.000 0.000
0.000 4.354 0.000
0.000 0.000 5.506
Sc Ta Os
2 1 1
Direct
0.000 0.000 0.237 Sc
0.000 0.000 0.763 Sc
0.500 0.500 0.500 Ta
0.500 0.500 0.000 Os

ScTa3Os | Alexandria via LeMat-Bulk | PBE | relaxed; energy above the most stable polymorph in this dataset = 1.267 eV/atom; raw total energy = -42.27 eV per formula unit; ρ = 13185 kg/m³; ΔH_f (0 K) = 2169 meV per atom
1.0
4.610 0.000 0.000
0.000 4.610 0.000
0.000 0.000 4.610
Sc Ta Os
1 3 1
Direct
0.000 0.000 0.000 Sc
0.000 0.000 0.500 Ta
0.000 0.500 0.000 Ta
0.500 0.000 0.000 Ta
0.500 0.500 0.500 Os

ScTaOs2 | Alexandria via LeMat-Bulk | PBE | relaxed; energy above the most stable polymorph in this dataset = 0.452 eV/atom; raw total energy = -40.96 eV per formula unit; ρ = 15311 kg/m³; ΔH_f (0 K) = -80 meV per atom
1.0
-1.599 2.384 4.313
1.599 -2.384 4.313
1.599 2.384 -4.313
Sc Ta Os
1 1 2
Direct
0.000 0.000 0.000 Sc
0.500 0.500 0.000 Ta
0.257 0.757 0.500 Os
0.743 0.243 0.500 Os

Sc3TaOs | Alexandria via LeMat-Bulk | PBE | relaxed; energy above the most stable polymorph in this dataset = 0.000 eV/atom; raw total energy = -39.07 eV per formula unit; ρ = 6988 kg/m³; ΔH_f (0 K) = 602 meV per atom
1.0
4.936 0.000 0.000
0.000 4.936 0.000
0.000 0.000 4.936
Sc Ta Os
3 1 1
Direct
0.000 0.000 0.500 Sc
0.000 0.500 0.000 Sc
0.500 0.000 0.000 Sc
0.500 0.500 0.500 Ta
0.000 0.000 0.000 Os

- Look up the raw total energy of the fifth one.
  -40.96 eV per formula unit

- Which formula does entry 5 have?
  ScTaOs2

- What is the raw total energy in the fifth record?
  -40.96 eV per formula unit